Entry 1:
The following is a DFT calculation (GGA-PBE) of a geometry-optimized BaNa3Tl structure.

Geometry as extended XYZ:
```
5
Lattice="5.988 0.000 0.000 0.000 5.988 0.000 0.000 0.000 5.988" Properties=species:S:1:pos:R:3 pbc="T T T"
Na 2.994 0.000 0.000
Na 0.000 2.994 0.000
Na 0.000 0.000 2.994
Tl 0.000 0.000 0.000
Ba 2.994 2.994 2.994
```

Calculated values
The energy above the lowest structure with this stoichiometry is 130 meV/atom. As for the volume: 42.94 A^3/atom. The value obtained for the electronic total energy is -8.08 eV per cell.

Entry 2:
The following is a DFT calculation (GGA-PBE) of a geometry-optimized Ba2Na2Tl structure.

Geometry as extended XYZ:
```
5
Lattice="-1.077 -1.919 -3.782 3.991 0.861 -1.574 2.212 -9.284 6.612" Properties=species:S:1:pos:R:3 pbc="T T T"
Tl 0.000 0.000 0.000
Na 3.568 -6.177 -0.414
Ba 3.012 -8.055 3.229
Na 1.557 -4.165 1.670
Ba 2.114 -2.287 -1.973
```

Calculated values
The energy above the lowest structure with this stoichiometry is 0 meV/atom. As for the volume: 42.85 A^3/atom. The value obtained for the electronic total energy is -9.83 eV per cell.